Entry 1:
! PBE YZnCl, optimized geometry; values from VASP
! Density of states at the Fermi level in states/eV/cell: 3.01
! SG: F-43m
! ΔE_f (raw) in meV/atom: -103
&SYSTEM
  ibrav = 0, nat = 3, ntyp = 3
/
ATOMIC_SPECIES
Y 88.91 Y.upf
Zn 65.41 Zn.upf
Cl 35.45 Cl.upf
CELL_PARAMETERS angstrom
0.000 3.416 3.416
3.416 0.000 3.416
3.416 3.416 0.000
ATOMIC_POSITIONS angstrom
Y 0.000 0.000 0.000
Zn 5.124 5.124 5.124
Cl 3.416 3.416 3.416

---

Entry 2:
! PBE Y2ZnCl, optimized geometry; values from VASP
! Density of states at the Fermi level in states/eV/cell: 2.98
! SG: Pmmm
! ΔE_f (raw) in meV/atom: -803
&SYSTEM
  ibrav = 0, nat = 4, ntyp = 3
/
ATOMIC_SPECIES
Y 88.91 Y.upf
Zn 65.41 Zn.upf
Cl 35.45 Cl.upf
CELL_PARAMETERS angstrom
3.482 0.000 0.000
0.000 3.626 0.000
0.000 0.000 7.993
ATOMIC_POSITIONS angstrom
Y 0.000 0.000 1.729
Y 0.000 0.000 6.264
Zn 1.741 1.813 0.000
Cl 1.741 0.000 3.996

---

Entry 3:
! PBE YZnCl, optimized geometry; values from VASP
! Density of states at the Fermi level in states/eV/cell: 2.62
! SG: P-6m2
! ΔE_f (raw) in meV/atom: -660
&SYSTEM
  ibrav = 0, nat = 3, ntyp = 3
/
ATOMIC_SPECIES
Y 88.91 Y.upf
Zn 65.41 Zn.upf
Cl 35.45 Cl.upf
CELL_PARAMETERS angstrom
4.697 0.000 0.000
-2.348 4.068 0.000
0.000 0.000 3.835
ATOMIC_POSITIONS angstrom
Y 0.000 0.000 0.000
Zn 2.348 1.356 1.917
Cl 0.000 2.712 0.000